! KHfTe3Pd (GGA-PBE, optimized geometry); values from VASP
&SYSTEM
  ibrav = 0, nat = 12, ntyp = 4
/
ATOMIC_SPECIES
K 39.10 K.upf
Hf 178.49 Hf.upf
Te 127.60 Te.upf
Pd 106.42 Pd.upf
ATOMIC_POSITIONS angstrom
K -2.242 -1.709 8.900
K -5.046 1.989 -0.045
Hf 0.000 0.000 0.000
Hf -2.271 1.598 4.600
Te -5.073 1.561 3.799
Te -8.913 5.251 3.190
Te -0.357 -2.588 1.292
Te -6.932 2.868 7.564
Te 1.624 -4.970 5.666
Te -2.216 -1.280 5.057
Pd -5.076 1.248 6.474
Pd -2.212 -0.968 2.382
CELL_PARAMETERS angstrom
-6.255 3.637 -4.352
3.509 -6.551 4.008
-4.542 3.195 9.200
! VASP energy ... -60.77 eV per cell
! Calculated volume ... 177.1 Å³/f.u.
! Size of the total moment ... 0.0 μB per formula unit

=====

! KPmHf (GGA-PBE, optimized geometry); values from VASP
&SYSTEM
  ibrav = 0, nat = 3, ntyp = 3
/
ATOMIC_SPECIES
Pm 145.00 Pm.upf
Hf 178.49 Hf.upf
K 39.10 K.upf
ATOMIC_POSITIONS angstrom
Pm 0.000 0.000 0.000
Hf -3.336 -0.579 -0.361
K -10.008 -1.737 -1.082
CELL_PARAMETERS angstrom
-5.073 1.423 1.777
-4.266 0.103 -3.564
-4.004 -3.842 0.345
! VASP energy ... -10.95 eV per cell
! Calculated volume ... 121.6 Å³/f.u.
! Size of the total moment ... 3.4 μB per formula unit
! Energy above the most stable polymorph in this dataset ... 0 meV per atom

=====

! KPrHf (GGA-PBE, optimized geometry); values from VASP
&SYSTEM
  ibrav = 0, nat = 3, ntyp = 3
/
ATOMIC_SPECIES
K 39.10 K.upf
Pr 140.91 Pr.upf
Hf 178.49 Hf.upf
ATOMIC_POSITIONS angstrom
K 5.921 5.921 5.921
Pr 0.000 0.000 0.000
Hf 1.974 1.974 1.974
CELL_PARAMETERS angstrom
0.000 3.947 3.947
3.947 0.000 3.947
3.947 3.947 0.000
! VASP energy ... -11.08 eV per cell
! Calculated volume ... 123.0 Å³/f.u.
! Size of the total moment ... 3.3 μB per formula unit
! Energy above the most stable polymorph in this dataset ... 0 meV per atom

=====

! KHfPt (GGA-PBE, optimized geometry); values from VASP
&SYSTEM
  ibrav = 0, nat = 3, ntyp = 3
/
ATOMIC_SPECIES
Pt 195.08 Pt.upf
K 39.10 K.upf
Hf 178.49 Hf.upf
ATOMIC_POSITIONS angstrom
Pt 4.861 -5.255 -4.729
K 0.000 0.000 0.000
Hf 1.620 -1.752 -1.576
CELL_PARAMETERS angstrom
3.714 -0.252 -2.820
2.760 -3.766 0.104
0.008 -2.989 -3.589
! VASP energy ... -12.80 eV per cell
! Calculated volume ... 72.0 Å³/f.u.
! Size of the total moment ... 0.0 μB per formula unit
! Energy above the most stable polymorph in this dataset ... 1028 meV per atom

=====

! KHfPt (GGA-PBE, optimized geometry); values from VASP
&SYSTEM
  ibrav = 0, nat = 3, ntyp = 3
/
ATOMIC_SPECIES
Hf 178.49 Hf.upf
K 39.10 K.upf
Pt 195.08 Pt.upf
ATOMIC_POSITIONS angstrom
Hf 1.691 1.691 1.691
K 5.072 5.072 5.072
Pt 0.000 0.000 0.000
CELL_PARAMETERS angstrom
0.000 3.381 3.381
3.381 0.000 3.381
3.381 3.381 0.000
! VASP energy ... -15.89 eV per cell
! Calculated volume ... 77.3 Å³/f.u.
! Size of the total moment ... 0.0 μB per formula unit
! Energy above the most stable polymorph in this dataset ... 0 meV per atom

=====

! KRbHf (GGA-PBE, optimized geometry); values from VASP
&SYSTEM
  ibrav = 0, nat = 3, ntyp = 3
/
ATOMIC_SPECIES
Rb 85.47 Rb.upf
Hf 178.49 Hf.upf
K 39.10 K.upf
ATOMIC_POSITIONS angstrom
Rb 4.329 4.447 9.584
Hf 1.443 1.482 3.195
K 0.000 0.000 0.000
CELL_PARAMETERS angstrom
4.915 0.047 3.804
1.677 5.265 2.845
-0.820 0.617 6.130
! VASP energy ... -6.87 eV per cell
! Calculated volume ... 169.7 Å³/f.u.
! Size of the total moment ... 3.8 μB per formula unit
! Energy above the most stable polymorph in this dataset ... 0 meV per atom

=====

! KRbHfSe3 (GGA-PBE, optimized geometry); values from VASP
&SYSTEM
  ibrav = 0, nat = 24, ntyp = 4
/
ATOMIC_SPECIES
Se 78.96 Se.upf
Rb 85.47 Rb.upf
Hf 178.49 Hf.upf
K 39.10 K.upf
ATOMIC_POSITIONS angstrom
Se 1.701 -10.496 0.585
Se 9.192 -1.122 5.372
Se 7.128 -9.197 4.374
Se 0.851 -7.021 -0.223
Se 7.640 -1.703 1.822
Se 4.147 -15.394 2.613
Se 7.877 -14.668 2.748
Se 10.086 -6.601 3.849
Se 2.595 -15.975 -0.937
Se 4.658 -7.900 0.061
Se 3.909 -2.429 1.686
Se 10.936 -10.076 4.658
Rb 4.404 -10.128 2.489
Rb 1.273 -1.765 -0.230
Rb 10.514 -15.333 4.664
Rb 7.383 -6.969 1.946
Hf 2.646 -8.826 -1.318
Hf 6.260 -16.301 4.171
Hf 9.140 -8.271 5.752
Hf 5.527 -0.796 0.264
K 2.125 -13.604 1.069
K 3.089 -5.468 1.279
K 8.698 -11.629 3.155
K 9.661 -3.493 3.366
CELL_PARAMETERS angstrom
-1.054 -16.321 0.203
2.337 -0.192 -3.282
10.504 -0.585 7.513
! VASP energy ... -119.26 eV per cell
! Calculated volume ... 213.2 Å³/f.u.
! Size of the total moment ... 0.0 μB per formula unit
! Energy above the most stable polymorph in this dataset ... 107 meV per atom

=====

! KRbHfSe3 (GGA-PBE, optimized geometry); values from VASP
&SYSTEM
  ibrav = 0, nat = 12, ntyp = 4
/
ATOMIC_SPECIES
Hf 178.49 Hf.upf
Se 78.96 Se.upf
K 39.10 K.upf
Rb 85.47 Rb.upf
ATOMIC_POSITIONS angstrom
Hf 7.075 -0.177 2.185
Hf 2.347 -5.145 6.303
Se 6.973 -4.602 7.904
Se 3.705 -2.778 6.793
Se 7.881 -0.852 4.481
Se 1.540 -4.469 4.007
Se 2.449 -0.720 0.584
Se 5.717 -2.544 1.695
K 3.123 -1.705 3.605
K 6.298 -3.616 4.884
Rb 9.082 -1.776 7.685
Rb 0.339 -3.545 0.804
CELL_PARAMETERS angstrom
-2.102 -3.249 7.133
0.915 -3.667 -1.401
10.608 1.595 2.756
! VASP energy ... -60.91 eV per cell
! Calculated volume ... 180.5 Å³/f.u.
! Size of the total moment ... 0.0 μB per formula unit
! Energy above the most stable polymorph in this dataset ... 0 meV per atom

=====

! KHfS3 (GGA-PBE, optimized geometry); values from VASP
&SYSTEM
  ibrav = 0, nat = 20, ntyp = 3
/
ATOMIC_SPECIES
Hf 178.49 Hf.upf
S 32.06 S.upf
K 39.10 K.upf
ATOMIC_POSITIONS angstrom
Hf 6.077 -4.140 4.816
Hf 6.077 5.792 4.816
Hf 6.148 -5.792 1.605
Hf 6.148 4.140 1.605
S 1.410 -0.964 2.751
S 10.885 -0.964 0.459
S 10.814 0.964 3.670
S 5.238 1.790 1.058
S 5.167 -1.790 4.269
S 4.640 4.258 3.617
S 7.584 -4.258 2.804
S 7.058 1.790 2.152
S 7.514 4.258 6.015
S 6.987 -1.790 5.363
S 4.711 -4.258 0.407
S 1.340 0.964 5.962
K 8.240 -1.295 2.363
K 8.169 1.295 5.573
K 4.055 -1.295 0.848
K 3.985 1.295 4.059
CELL_PARAMETERS angstrom
6.183 -6.830 0.000
6.183 6.830 0.000
-0.141 0.000 6.421
! VASP energy ... -121.25 eV per cell
! Calculated volume ... 135.6 Å³/f.u.
! Size of the total moment ... 0.0 μB per formula unit

=====

! KHfSiS3 (GGA-PBE, optimized geometry); values from VASP
&SYSTEM
  ibrav = 0, nat = 12, ntyp = 4
/
ATOMIC_SPECIES
Hf 178.49 Hf.upf
S 32.06 S.upf
K 39.10 K.upf
Si 28.09 Si.upf
ATOMIC_POSITIONS angstrom
Hf 1.150 -0.252 4.735
Hf 0.000 0.000 0.000
S -1.662 1.828 1.161
S 7.451 2.481 5.864
S 2.645 1.994 5.152
S 3.492 1.808 8.643
S -0.814 1.643 4.652
S -5.621 1.156 3.940
K 3.455 2.356 1.800
K -1.625 1.280 8.004
Si 1.773 1.730 7.203
Si 0.057 1.907 2.601
CELL_PARAMETERS angstrom
6.309 2.936 -1.375
-6.778 1.205 1.710
2.299 -0.504 9.470
! VASP energy ... -66.87 eV per cell
! Calculated volume ... 138.2 Å³/f.u.
! Size of the total moment ... 0.3 μB per formula unit

=====

! KHfTlS3 (GGA-PBE, optimized geometry); values from VASP
&SYSTEM
  ibrav = 0, nat = 12, ntyp = 4
/
ATOMIC_SPECIES
K 39.10 K.upf
S 32.06 S.upf
Hf 178.49 Hf.upf
Tl 204.38 Tl.upf
ATOMIC_POSITIONS angstrom
K 5.839 2.908 4.073
K 1.798 0.969 5.163
S 2.657 2.908 2.778
S -0.762 2.908 6.273
S 8.400 0.969 2.963
S 1.231 0.969 0.160
S 6.406 2.908 9.076
S 4.981 0.969 6.458
Hf 7.188 0.969 7.366
Hf 0.449 2.908 1.870
Tl 5.904 0.969 0.261
Tl 1.733 2.908 8.975
CELL_PARAMETERS angstrom
9.166 0.000 0.000
0.000 3.878 0.000
-1.529 0.000 9.236
! VASP energy ... -65.48 eV per cell
! Calculated volume ... 164.1 Å³/f.u.
! Size of the total moment ... 0.0 μB per formula unit
! Energy above the most stable polymorph in this dataset ... 90 meV per atom